The following is a PBE calculation of crystalline Dy4TmS4 at its relaxed geometry, from Alexandria via LeMat-Bulk.

Calculated values
The density comes out at 7.71 g/cm³. For the density of states at the Fermi level, the calculation gives 0.625 states/eV/atom. The uncorrected formation energy comes out at -168.5 kJ per mole of atoms.

Unit cell a=8.621 b=8.621 c=5.486 alpha=90.00 beta=90.00 gamma=90.00
Space group I4/m (No. 87)
One atom of each set of equivalent atoms:
Dy 0.102 0.699 0.000 [8 per cell]
Tm 0.000 0.000 0.500 [2 per cell]
S 0.097 0.701 0.500 [8 per cell]